Entry from Alexandria: crystalline MnSeBr2 at its relaxed geometry (PBEsol).

Cell lengths 3.651, 3.651, 7.868 Å; angles 90.00, 90.00, 90.00 degrees
Space group P4mm (No. 99)
Inequivalent atoms, fractional coordinates:
Mn 0.000 0.000 0.000
Se 0.500 0.500 0.926
Br 0.000 0.000 0.294
Br 0.500 0.500 0.621

Calculated values
The value obtained for the energy above the lowest structure with this stoichiometry is 156 meV per atom.

Entry from Alexandria: crystalline Mn2SeBr at its relaxed geometry (PBEsol).

Cell lengths 3.456, 3.392, 6.683 Å; angles 90.00, 90.07, 90.00 degrees
Space group P2/m (No. 10)
Inequivalent atoms, fractional coordinates:
Mn 0.002 0.000 0.192
Se 0.500 0.500 0.000
Br 0.000 0.500 0.500

Calculated values
The value obtained for the energy above the lowest structure with this stoichiometry is 102 meV per atom.

Entry from Alexandria: crystalline Mn2SeBr at its relaxed geometry (PBEsol).

Cell lengths 3.435, 3.591, 12.759 Å; angles 90.00, 90.00, 90.00 degrees
Space group Imm2 (No. 44)
Inequivalent atoms, fractional coordinates:
Mn 0.000 0.000 0.000
Mn 0.000 0.500 0.310
Se 0.000 0.500 0.854
Br 0.000 0.000 0.606

Calculated values
The value obtained for the energy above the lowest structure with this stoichiometry is 38 meV per atom.

Entry from Alexandria: crystalline MnSeBr2 at its relaxed geometry (PBEsol).

Cell lengths 6.982, 6.982, 6.982 Å; angles 90.00, 90.00, 90.00 degrees
Space group Fm-3m (No. 225)
Inequivalent atoms, fractional coordinates:
Mn 0.000 0.000 0.000
Se 0.000 0.000 0.500
Br 0.250 0.250 0.250

Calculated values
The value obtained for the energy above the lowest structure with this stoichiometry is 690 meV per atom.

Entry from Alexandria: crystalline MnSeBr2 at its relaxed geometry (PBEsol).

Cell lengths 3.5392, 3.5392, 24.2169 Å; angles 90.00, 90.00, 120.00 degrees
Space group R3m (No. 160, hexagonal axes)
Inequivalent atoms, fractional coordinates:
Mn 0.0000 0.0000 0.0000
Se 0.0000 0.0000 0.2753
Br 0.0000 0.0000 0.5197
Br 0.0000 0.0000 0.7302

Calculated values
The value obtained for the energy above the lowest structure with this stoichiometry is 0 meV per atom.

Entry from Alexandria: crystalline MnSeBr at its relaxed geometry (PBEsol).

Cell lengths 3.221, 3.221, 12.111 Å; angles 90.00, 90.00, 90.00 degrees
Space group I4mm (No. 107)
Inequivalent atoms, fractional coordinates:
Mn 0.000 0.000 0.000
Se 0.000 0.000 0.610
Br 0.000 0.000 0.351

Entry from Alexandria: crystalline Mn2SeBr at its relaxed geometry (PBEsol).

Cell lengths 7.452, 3.588, 6.996 Å; angles 90.00, 118.02, 90.00 degrees
Space group C2/m (No. 12)
Inequivalent atoms, fractional coordinates:
Mn 0.225 0.000 0.318
Se 0.000 0.000 0.500
Br 0.000 0.500 0.000

Calculated values
The value obtained for the energy above the lowest structure with this stoichiometry is 0 meV per atom.

Entry from Alexandria: crystalline MnSnSe2Br at its relaxed geometry (PBEsol).

Cell lengths 5.227, 5.227, 5.292 Å; angles 90.00, 90.00, 90.00 degrees
Space group P4/mmm (No. 123)
Inequivalent atoms, fractional coordinates:
Mn 0.000 0.000 0.000
Sn 0.500 0.500 0.500
Se 0.000 0.500 0.500
Br 0.500 0.500 0.000

Entry from Alexandria: crystalline MnSnSeBr2 at its relaxed geometry (PBEsol).

Cell lengths 4.956, 4.956, 5.043 Å; angles 90.00, 90.00, 90.00 degrees
Space group P4/mmm (No. 123)
Inequivalent atoms, fractional coordinates:
Mn 0.000 0.000 0.000
Sn 0.500 0.500 0.500
Se 0.000 0.000 0.500
Br 0.000 0.500 0.000

Entry from Alexandria: crystalline TiMnSeBr2 at its relaxed geometry (PBEsol).

Cell lengths 5.045, 5.045, 4.952 Å; angles 90.00, 90.00, 90.00 degrees
Space group P4/mmm (No. 123)
Inequivalent atoms, fractional coordinates:
Ti 0.000 0.000 0.000
Mn 0.500 0.500 0.500
Se 0.000 0.000 0.500
Br 0.000 0.500 0.000

Entry from Alexandria: crystalline ZrMnSeBr2 at its relaxed geometry (PBEsol).

Cell lengths 4.840, 4.840, 4.935 Å; angles 90.00, 90.00, 90.00 degrees
Space group P4/mmm (No. 123)
Inequivalent atoms, fractional coordinates:
Zr 0.000 0.000 0.000
Mn 0.500 0.500 0.500
Se 0.500 0.500 0.000
Br 0.000 0.500 0.500

Entry from Alexandria: crystalline Mn2SiBr at its relaxed geometry (PBEsol).

Cell lengths 3.053, 3.912, 5.287 Å; angles 90.00, 90.00, 90.00 degrees
Space group Pmmm (No. 47)
Inequivalent atoms, fractional coordinates:
Mn 0.000 0.000 0.000
Mn 0.500 0.000 0.500
Si 0.000 0.500 0.500
Br 0.500 0.500 0.000

Calculated values
The value obtained for the energy above the lowest structure with this stoichiometry is 313 meV per atom.

Entry from Alexandria: crystalline Mn2SiBr at its relaxed geometry (PBEsol).

Cell lengths 3.609, 3.622, 5.234 Å; angles 90.00, 90.00, 90.00 degrees
Space group Pmmm (No. 47)
Inequivalent atoms, fractional coordinates:
Mn 0.000 0.000 0.000
Mn 0.500 0.500 0.500
Si 0.000 0.000 0.500
Br 0.500 0.500 0.000

Calculated values
The value obtained for the energy above the lowest structure with this stoichiometry is 161 meV per atom.

Entry from Alexandria: crystalline Mn2SiBr at its relaxed geometry (PBEsol).

Cell lengths 3.004, 3.004, 6.466 Å; angles 90.00, 90.00, 90.00 degrees
Space group P4/mmm (No. 123)
Inequivalent atoms, fractional coordinates:
Mn 0.000 0.000 0.198
Si 0.500 0.500 0.000
Br 0.500 0.500 0.500

Calculated values
The value obtained for the energy above the lowest structure with this stoichiometry is 0 meV per atom.

Entry from Alexandria: crystalline MnSiBr2 at its relaxed geometry (PBEsol).

Cell lengths 3.841, 3.841, 11.989 Å; angles 90.00, 90.00, 90.00 degrees
Space group I-4m2 (No. 119)
Inequivalent atoms, fractional coordinates:
Mn 0.000 0.000 0.000
Si 0.000 0.500 0.250
Br 0.000 0.000 0.500
Br 0.000 0.500 0.750

Number 1: DOS(E_F) 1.49 states/eV/cell, formation energy from raw total energies -0.12 eV/atom. Number 2: DOS(E_F) 1.70 states/eV/cell, formation energy from raw total energies 0.04 eV/atom. Number 3: DOS(E_F) 2.59 states/eV/cell, formation energy from raw total energies -0.02 eV/atom. Number 4: DOS(E_F) 10.54 states/eV/cell, formation energy from raw total energies 0.41 eV/atom. Number 5: DOS(E_F) 3.49 states/eV/cell, formation energy from raw total energies -0.28 eV/atom. Number 6: DOS(E_F) 3.76 states/eV/cell, formation energy from raw total energies -0.07 eV/atom. Number 7: DOS(E_F) 3.15 states/eV/cell, formation energy from raw total energies -0.06 eV/atom. Number 8: DOS(E_F) 1.80 states/eV/cell, formation energy from raw total energies 0.44 eV/atom. Number 9: DOS(E_F) 2.33 states/eV/cell, formation energy from raw total energies -0.22 eV/atom. Number 10: DOS(E_F) 3.89 states/eV/cell, formation energy from raw total energies -0.14 eV/atom. Number 11: DOS(E_F) 6.22 states/eV/cell, formation energy from raw total energies 0.10 eV/atom. Number 12: DOS(E_F) 2.54 states/eV/cell, formation energy from raw total energies 0.53 eV/atom. Number 13: DOS(E_F) 2.31 states/eV/cell, formation energy from raw total energies 0.38 eV/atom. Number 14: DOS(E_F) 1.86 states/eV/cell, formation energy from raw total energies 0.22 eV/atom. Number 15: DOS(E_F) 5.32 states/eV/cell, formation energy from raw total energies 0.48 eV/atom.